*i*
A geometry-optimized MnNbTePd2 structure. Source: Alexandria via LeMat-Bulk, functional GGA-PBE.

```
MnNbTePd2
1.0
4.757 0.000 0.000
0.000 4.757 0.000
0.000 0.000 4.487
Mn Nb Te Pd
1 1 1 2
Direct
0.000 0.000 0.000
0.000 0.000 0.500
0.500 0.500 0.500
0.000 0.500 0.000
0.500 0.000 0.000
```

Properties
size of the total moment: 1.6 μB per cell

---

*ii*
A geometry-optimized MnNbTePd2 structure. Source: Alexandria via LeMat-Bulk, functional GGA-PBE.

```
MnNbTePd2
1.0
4.826 0.000 0.000
0.000 4.826 0.000
0.000 0.000 4.629
Mn Nb Te Pd
1 1 1 2
Direct
0.000 0.000 0.000
0.500 0.500 0.000
0.000 0.000 0.500
0.000 0.500 0.500
0.500 0.000 0.500
```

Properties
size of the total moment: 0.0 μB per cell

---

Preferred: *i*; penalty for the next structure: 57.6 kJ/mol of atoms.

---

*i*
A geometry-optimized MnNbPt3 structure. Source: Alexandria via LeMat-Bulk, functional GGA-PBE.

```
MnNbPt3
1.0
4.587 0.000 0.000
0.000 4.587 0.000
0.000 0.000 4.587
Mn Nb Pt
1 1 3
Direct
0.000 0.000 0.000
0.500 0.500 0.500
0.000 0.000 0.500
0.000 0.500 0.000
0.500 0.000 0.000
```

Properties
size of the total moment: 5.6 μB per cell

---

*ii*
A geometry-optimized MnNbPt3 structure. Source: Alexandria via LeMat-Bulk, functional GGA-PBE.

```
MnNbPt3
1.0
4.474 0.000 0.000
0.000 5.393 0.000
0.000 0.000 7.054
Mn Nb Pt
2 2 6
Direct
0.250 0.250 0.184
0.750 0.750 0.816
0.250 0.750 0.262
0.750 0.250 0.738
0.250 0.250 0.527
0.250 0.505 0.875
0.250 0.995 0.875
0.750 0.005 0.125
0.750 0.495 0.125
0.750 0.750 0.473
```

Properties
size of the total moment: 5.8 μB per cell

---

*iii*
A geometry-optimized MnNbPt3 structure. Source: Alexandria via LeMat-Bulk, functional GGA-PBE.

```
MnNbPt3
1.0
2.700 1.559 4.211
-2.700 1.559 4.211
0.000 -3.117 4.211
Mn Nb Pt
1 1 3
Direct
0.000 0.000 0.000
0.500 0.500 0.500
0.000 0.000 0.500
0.000 0.500 0.000
0.500 0.000 0.000
```

Properties
size of the total moment: 3.4 μB per cell

---

Preferred: *ii*; penalty for the next structure: 36.3 kJ/mol of atoms.

---

*i*
A geometry-optimized MnNbPt structure. Source: Alexandria via LeMat-Bulk, functional GGA-PBE.

```
MnNbPt
1.0
-2.007 2.007 5.870
2.007 -2.007 5.870
2.007 2.007 -5.870
Mn Nb Pt
2 2 2
Direct
0.000 0.500 0.500
0.500 0.000 0.500
0.147 0.147 0.000
0.853 0.853 0.000
0.365 0.365 0.000
0.635 0.635 0.000
```

Properties
size of the total moment: 0.0 μB per cell

---

*ii*
A geometry-optimized MnNbPt structure. Source: Alexandria via LeMat-Bulk, functional GGA-PBE.

```
MnNbPt
1.0
4.438 0.000 0.000
-2.219 3.844 0.000
0.000 0.000 2.757
Mn Nb Pt
1 1 1
Direct
0.000 0.000 0.000
0.667 0.333 0.679
0.333 0.667 0.279
```

Properties
size of the total moment: 3.2 μB per cell

---

Preferred: *ii*; penalty for the next structure: 1.8 kJ/mol of atoms.

---

*i*
A geometry-optimized RbMnNb2 structure. Source: Alexandria via LeMat-Bulk, functional GGA-PBE.

```
RbMnNb2
1.0
0.000 5.098 5.098
5.098 0.000 5.098
5.098 5.098 0.000
Rb Mn Nb
2 2 4
Direct
0.125 0.125 0.125
0.875 0.875 0.875
0.375 0.375 0.375
0.625 0.625 0.625
0.000 0.500 0.500
0.500 0.000 0.500
0.500 0.500 0.000
0.500 0.500 0.500
```

Properties
size of the total moment: 0.0 μB per cell

---

*ii*
A geometry-optimized RbMnNb2 structure. Source: Alexandria via LeMat-Bulk, functional GGA-PBE.

```
RbMnNb2
1.0
0.000 3.333 3.333
3.333 0.000 3.333
3.333 3.333 0.000
Rb Mn Nb
1 1 2
Direct
0.000 0.000 0.000
0.500 0.500 0.500
0.250 0.250 0.250
0.750 0.750 0.750
```

Properties
size of the total moment: 0.0 μB per cell

---

Preferred: *i*; penalty for the next structure: 1.9 kJ/mol of atoms.

---

*i*
A geometry-optimized MnNbRe3 structure. Source: Alexandria via LeMat-Bulk, functional GGA-PBE.

```
MnNbRe3
1.0
4.689 0.000 0.000
0.000 4.689 0.000
0.000 0.000 4.689
Mn Nb Re
1 1 3
Direct
0.000 0.000 0.000
0.500 0.500 0.500
0.000 0.500 0.500
0.500 0.000 0.500
0.500 0.500 0.000
```

Properties
size of the total moment: 0.3 μB per cell

---

*ii*
A geometry-optimized MnNbRe3 structure. Source: Alexandria via LeMat-Bulk, functional GGA-PBE.

```
MnNbRe3
1.0
4.412 0.000 0.000
0.000 4.412 0.000
0.000 0.000 4.412
Mn Nb Re
1 1 3
Direct
0.000 0.000 0.000
0.500 0.500 0.500
0.000 0.000 0.500
0.000 0.500 0.000
0.500 0.000 0.000
```

Properties
size of the total moment: 0.0 μB per cell

---

Preferred: *ii*; penalty for the next structure: 149.0 kJ/mol of atoms.

---

*i*
A geometry-optimized TiMnNbRe structure. Source: Alexandria via LeMat-Bulk, functional GGA-PBE.

```
TiMnNbRe
1.0
0.000 3.105 3.105
3.105 0.000 3.105
3.105 3.105 0.000
Ti Mn Nb Re
1 1 1 1
Direct
0.000 0.000 0.000
0.750 0.750 0.750
0.500 0.500 0.500
0.250 0.250 0.250
```

Properties
size of the total moment: 0.2 μB per cell

---

*ii*
A geometry-optimized TiMnNbRe structure. Source: Alexandria via LeMat-Bulk, functional GGA-PBE.

```
TiMnNbRe
1.0
3.121 0.000 0.000
0.000 4.331 0.000
0.000 0.000 4.443
Ti Mn Nb Re
1 1 1 1
Direct
0.000 0.000 0.000
0.500 0.000 0.500
0.000 0.500 0.500
0.500 0.500 0.000
```

Properties
size of the total moment: 0.4 μB per cell

---

Preferred: *i*; penalty for the next structure: 1.7 kJ/mol of atoms.

---

*i*
A geometry-optimized MnNbRu structure. Source: Alexandria via LeMat-Bulk, functional GGA-PBE.

```
MnNbRu
1.0
-1.572 1.572 4.641
1.572 -1.572 4.641
1.572 1.572 -4.641
Mn Nb Ru
1 1 1
Direct
0.000 0.000 0.000
0.670 0.670 0.000
0.332 0.332 0.000
```

Properties
size of the total moment: 2.9 μB per cell

---

*ii*
A geometry-optimized MnNbRu structure. Source: Alexandria via LeMat-Bulk, functional GGA-PBE.

```
MnNbRu
1.0
-1.891 1.891 6.640
1.891 -1.891 6.640
1.891 1.891 -6.640
Mn Nb Ru
2 2 2
Direct
0.000 0.500 0.500
0.500 0.000 0.500
0.175 0.175 0.000
0.825 0.825 0.000
0.364 0.364 0.000
0.636 0.636 0.000
```

Properties
size of the total moment: 6.4 μB per cell

---

Preferred: *i*; penalty for the next structure: 12.2 kJ/mol of atoms.

---

*i*
A geometry-optimized Mn3NbS structure. Source: Alexandria via LeMat-Bulk, functional GGA-PBE.

```
Mn3NbS
1.0
4.731 0.000 0.000
0.000 4.731 0.000
0.000 0.000 4.731
Mn Nb S
3 1 1
Direct
0.000 0.000 0.500
0.000 0.500 0.000
0.500 0.000 0.000
0.000 0.000 0.000
0.500 0.500 0.500
```

Properties
size of the total moment: 8.4 μB per cell

---

*ii*
A geometry-optimized Mn3NbS structure. Source: Alexandria via LeMat-Bulk, functional GGA-PBE.

```
Mn3NbS
1.0
4.072 0.000 0.000
0.000 4.072 0.000
0.000 0.000 4.072
Mn Nb S
3 1 1
Direct
0.000 0.000 0.500
0.000 0.500 0.000
0.500 0.000 0.000
0.500 0.500 0.500
0.000 0.000 0.000
```

Properties
size of the total moment: 0.6 μB per cell

---

Preferred: *ii*; penalty for the next structure: 114.9 kJ/mol of atoms.